(1)
# Ce4InTc

A relaxed Ce4InTc crystal (GGA-PBE, Alexandria via LeMat-Bulk).

a b c (Å): 9.5744 9.5744 4.8267
angles (deg): 90.00 90.00 141.81
Atoms (fractional coordinates):
Ce 0.0112 0.4237 0.2500
Ce 0.1719 0.2588 0.2500
Ce 0.2588 0.1719 0.7500
Ce 0.4237 0.0112 0.7500
Ce 0.5763 0.9888 0.2500
Ce 0.7412 0.8281 0.2500
Ce 0.8281 0.7412 0.7500
Ce 0.9888 0.5763 0.7500
In 0.3776 0.6224 0.7500
In 0.6224 0.3776 0.2500
Tc 0.1270 0.8730 0.2500
Tc 0.8730 0.1270 0.7500

offset from the most stable computed form: 0.006 eV per atom
calculated total energy: -6.290 eV/atom
space-group type: No. 63
crystal system: orthorhombic
volume: 137 Å³/f.u.

=====

(2)
# Ce8In2Tc3

A relaxed Ce8In2Tc3 crystal (GGA-PBE, Alexandria via LeMat-Bulk).

a b c (Å): 9.2288 9.2288 5.8156
angles (deg): 91.83 91.83 43.31
Atoms (fractional coordinates):
Ce 0.0853 0.0853 0.0846
Ce 0.1136 0.6825 0.4144
Ce 0.3175 0.8864 0.5856
Ce 0.3427 0.3427 0.8578
Ce 0.6573 0.6573 0.1422
Ce 0.6825 0.1136 0.4144
Ce 0.8864 0.3175 0.5856
Ce 0.9147 0.9147 0.9154
In 0.2494 0.2494 0.3409
In 0.7506 0.7506 0.6591
Tc 0.2992 0.7008 0.0000
Tc 0.5000 0.5000 0.5000
Tc 0.7008 0.2992 0.0000

offset from the most stable computed form: 0.065 eV per atom
calculated total energy: -6.464 eV/atom
space-group type: No. 12
crystal system: monoclinic
volume: 340 Å³/f.u.

=====

(3)
# Ce4In3Tc2

A relaxed Ce4In3Tc2 crystal (GGA-PBE, Alexandria via LeMat-Bulk).

a b c (Å): 7.6897 7.6897 6.3614
angles (deg): 99.28 99.28 37.34
Atoms (fractional coordinates):
Ce 0.0664 0.0664 0.3189
Ce 0.2747 0.2747 0.8146
Ce 0.7253 0.7253 0.1854
Ce 0.9336 0.9336 0.6811
In 0.3841 0.3841 0.3505
In 0.5000 0.5000 0.0000
In 0.6159 0.6159 0.6495
Tc 0.1240 0.1240 0.8938
Tc 0.8760 0.8760 0.1062

calculated total energy: -6.105 eV/atom
space-group type: No. 12
crystal system: monoclinic
volume: 225 Å³/f.u.

=====

(4)
# Ce6InTc2

A relaxed Ce6InTc2 crystal (GGA-PBE, Alexandria via LeMat-Bulk).

a b c (Å): 5.7524 5.7524 8.8289
angles (deg): 94.78 94.78 50.96
Atoms (fractional coordinates):
Ce 0.0543 0.0543 0.3663
Ce 0.2974 0.2974 0.8812
Ce 0.3969 0.3969 0.3280
Ce 0.6031 0.6031 0.6720
Ce 0.7026 0.7026 0.1188
Ce 0.9457 0.9457 0.6337
In 0.0000 0.0000 0.0000
Tc 0.2682 0.2682 0.6162
Tc 0.7318 0.7318 0.3838

calculated total energy: -6.761 eV/atom
space-group type: No. 12
crystal system: monoclinic
volume: 226 Å³/f.u.

=====

(5)
# CeInTc

A relaxed CeInTc crystal (GGA-PBE, Alexandria via LeMat-Bulk).

a b c (Å): 6.4062 6.4062 6.4062
angles (deg): 149.82 149.82 43.20
Atoms (fractional coordinates):
Ce 0.0000 0.0000 0.0000
In 0.7229 0.7229 0.0000
Tc 0.3605 0.3605 0.0000

offset from the most stable computed form: 0.239 eV per atom
calculated total energy: -6.388 eV/atom
space-group type: No. 107
crystal system: tetragonal
volume: 66 Å³/f.u.

=====

(6)
# Ce3In2Tc

A relaxed Ce3In2Tc crystal (GGA-PBE, Alexandria via LeMat-Bulk).

a b c (Å): 6.5775 6.5775 8.1386
angles (deg): 95.10 95.10 106.34
Atoms (fractional coordinates):
Ce 0.0362 0.4159 0.7768
Ce 0.1696 0.1696 0.1663
Ce 0.4159 0.0362 0.7768
Ce 0.5841 0.9638 0.2232
Ce 0.8304 0.8304 0.8337
Ce 0.9638 0.5841 0.2232
In 0.0000 0.0000 0.5000
In 0.3647 0.6353 0.5000
In 0.5000 0.5000 0.0000
In 0.6353 0.3647 0.5000
Tc 0.2279 0.7721 0.0000
Tc 0.7721 0.2279 0.0000

calculated total energy: -5.701 eV/atom
space-group type: No. 12
crystal system: monoclinic
volume: 167 Å³/f.u.

=====

In the order shown, the computed formation energy values come out to -0.15; 0.00; -0.25; -0.20; -0.04; -0.09 eV/atom.